Na2Zr2Al2NiPd (PBE, relaxed); E = -0.35996 Ry/atom; symmetry = P-4m2
1.0
4.569 0.000 0.000
0.000 4.569 0.000
0.000 0.000 6.509
Na Zr Al Ni Pd
2 2 2 1 1
direct
0.000 0.000 0.000
0.500 0.500 0.500
0.000 0.500 0.739
0.500 0.000 0.261
0.000 0.500 0.254
0.500 0.000 0.746
0.000 0.000 0.500
0.500 0.500 0.000

Ho2Sc2CICl4 (PBE, relaxed); E = -0.40736 Ry/atom; energy above the most stable polymorph in this dataset = 9 meV/atom; symmetry = C2/m
1.0
8.345 -1.852 0.000
8.345 1.852 0.000
-2.040 0.000 7.716
Ho Sc C I Cl
2 2 1 1 4
direct
0.145 0.145 0.081
0.855 0.855 0.919
0.500 0.500 0.186
0.500 0.500 0.814
0.000 0.000 0.000
0.000 0.000 0.500
0.332 0.332 0.153
0.337 0.337 0.671
0.663 0.663 0.329
0.668 0.668 0.847

Sc2Nb4Si3C3 (PBE, relaxed); E = -0.63759 Ry/atom; symmetry = C2/c
1.0
4.768 -2.756 0.000
4.768 2.756 0.000
-3.234 0.000 13.292
Sc Nb Si C
4 8 6 6
direct
0.035 0.872 0.603
0.128 0.965 0.897
0.872 0.035 0.103
0.965 0.128 0.397
0.197 0.359 0.090
0.298 0.475 0.410
0.359 0.197 0.590
0.475 0.298 0.910
0.525 0.702 0.090
0.641 0.803 0.410
0.702 0.525 0.590
0.803 0.641 0.910
0.085 0.295 0.751
0.295 0.085 0.251
0.468 0.532 0.750
0.532 0.468 0.250
0.705 0.915 0.749
0.915 0.705 0.249
0.000 0.500 0.500
0.168 0.663 0.000
0.337 0.832 0.500
0.500 0.000 0.000
0.663 0.168 0.500
0.832 0.337 0.000

CoIr2Au (PBE, relaxed); E = -0.47815 Ry/atom; symmetry = F-43m; formation enthalpy at 0 K = 2.06 eV/f.u.
1.0
0.000 3.104 3.104
3.104 0.000 3.104
3.104 3.104 0.000
Co Ir Au
1 2 1
direct
0.000 0.000 0.000
0.250 0.250 0.250
0.500 0.500 0.500
0.750 0.750 0.750

CuTcSnW (PBE, relaxed); E = -0.53032 Ry/atom; energy above the most stable polymorph in this dataset = 264 meV/atom; symmetry = F-43m
1.0
0.000 3.157 3.157
3.157 0.000 3.157
3.157 3.157 0.000
Cu Tc Sn W
1 1 1 1
direct
0.000 0.000 0.000
0.250 0.250 0.250
0.500 0.500 0.500
0.750 0.750 0.750

FeTc2Sn (PBE, relaxed); E = -0.59016 Ry/atom; symmetry = F-43m
1.0
0.000 3.124 3.124
3.124 0.000 3.124
3.124 3.124 0.000
Fe Tc Sn
1 2 1
direct
0.000 0.000 0.000
0.250 0.250 0.250
0.500 0.500 0.500
0.750 0.750 0.750

AgBH8C11N2OF4 (PBE, relaxed); E = -0.47810 Ry/atom; symmetry = P-1
1.0
7.100 0.000 0.000
-2.780 7.340 0.000
-0.480 -3.066 10.120
Ag B H C N O F
2 2 16 22 4 2 8
direct
0.060 0.408 0.237
0.940 0.592 0.763
0.064 0.098 0.708
0.936 0.902 0.292
0.088 0.310 0.496
0.139 0.991 0.967
0.183 0.466 0.933
0.293 0.457 0.721
0.368 0.056 0.406
0.412 0.780 0.376
0.432 0.050 0.752
0.453 0.604 0.128
0.547 0.396 0.872
0.568 0.950 0.248
0.588 0.220 0.624
0.632 0.944 0.594
0.707 0.543 0.279
0.817 0.534 0.067
0.861 0.009 0.033
0.912 0.690 0.504
0.206 0.452 0.523
0.206 0.907 0.007
0.234 0.616 0.988
0.319 0.535 0.648
0.351 0.994 0.122
0.384 0.694 0.098
0.387 0.716 0.456
0.405 0.198 0.189
0.445 0.886 0.165
0.471 0.717 0.678
0.493 0.192 0.421
0.507 0.808 0.579
0.529 0.283 0.322
0.555 0.114 0.835
0.595 0.802 0.811
0.613 0.284 0.544
0.616 0.306 0.902
0.649 0.006 0.878
0.681 0.465 0.352
0.766 0.384 0.012
0.794 0.093 0.993
0.794 0.548 0.477
0.150 0.722 0.942
0.239 0.542 0.428
0.761 0.458 0.572
0.850 0.278 0.058
0.352 0.300 0.135
0.648 0.700 0.865
0.055 0.092 0.295
0.065 0.815 0.329
0.164 0.200 0.839
0.209 0.097 0.622
0.791 0.903 0.378
0.836 0.800 0.161
0.935 0.185 0.671
0.945 0.908 0.705

YHfIr2 (PBE, relaxed); E = -0.64649 Ry/atom; symmetry = F-43m; formation enthalpy at 0 K = -1.05 eV/f.u.
1.0
0.000 3.307 3.307
3.307 0.000 3.307
3.307 3.307 0.000
Y Hf Ir
1 1 2
direct
0.000 0.000 0.000
0.250 0.250 0.250
0.500 0.500 0.500
0.750 0.750 0.750